# 1
{"formula": "KSr2VCl8", "functional": "GGA-PBE", "state": "optimized geometry", "lattice_angstrom": [[6.330, 0.000, 0.000], [0.000, 8.847, 0.000], [-0.031, 0.000, 6.543]], "species": ["K", "Sr", "Sr", "V", "Cl", "Cl", "Cl", "Cl", "Cl", "Cl", "Cl", "Cl"], "frac_coords": [[0.000, 0.000, 0.000], [0.500, 0.257, 0.500], [0.500, 0.743, 0.500], [0.000, 0.500, 0.000], [0.214, 0.307, 0.151], [0.214, 0.693, 0.151], [0.235, 0.500, 0.699], [0.269, 0.000, 0.633], [0.731, 0.000, 0.367], [0.765, 0.500, 0.301], [0.786, 0.307, 0.849], [0.786, 0.693, 0.849]], "e_tot_ev_per_cell": -51.36}


# 2
{"formula": "KSrYCl6", "functional": "GGA-PBE", "state": "optimized geometry", "lattice_angstrom": [[7.355, 0.000, 0.000], [-3.678, 6.370, 0.000], [0.000, 0.000, 13.256]], "species": ["K", "K", "Sr", "Sr", "Y", "Y", "Cl", "Cl", "Cl", "Cl", "Cl", "Cl", "Cl", "Cl", "Cl", "Cl", "Cl", "Cl"], "frac_coords": [[0.000, 0.000, 0.000], [0.000, 0.000, 0.500], [0.333, 0.667, 0.250], [0.667, 0.333, 0.750], [0.333, 0.667, 0.750], [0.667, 0.333, 0.250], [0.026, 0.378, 0.636], [0.026, 0.648, 0.864], [0.352, 0.378, 0.864], [0.352, 0.974, 0.636], [0.378, 0.026, 0.136], [0.378, 0.352, 0.364], [0.622, 0.648, 0.636], [0.622, 0.974, 0.864], [0.648, 0.026, 0.364], [0.648, 0.622, 0.136], [0.974, 0.352, 0.136], [0.974, 0.622, 0.364]], "e_tot_ev_per_cell": -82.10}


# 3
{"formula": "K2SrZnCl6", "functional": "GGA-PBE", "state": "optimized geometry", "lattice_angstrom": [[7.322, 0.000, 0.000], [3.481, 6.444, 0.000], [3.494, 2.081, 6.111]], "species": ["K", "K", "Sr", "Zn", "Cl", "Cl", "Cl", "Cl", "Cl", "Cl"], "frac_coords": [[0.233, 0.231, 0.231], [0.767, 0.769, 0.769], [0.500, 0.500, 0.500], [0.000, 0.000, 0.000], [0.150, 0.313, 0.780], [0.225, 0.850, 0.687], [0.312, 0.778, 0.152], [0.688, 0.222, 0.848], [0.775, 0.150, 0.313], [0.850, 0.687, 0.220]], "e_tot_ev_per_cell": -34.51}


# 4
{"formula": "K2TaCl", "functional": "GGA-PBE", "state": "optimized geometry", "lattice_angstrom": [[-1.745, 4.148, 5.723], [1.745, -4.148, 5.723], [1.745, 4.148, -5.723]], "species": ["K", "K", "Ta", "Cl"], "frac_coords": [[0.202, 0.202, 0.000], [0.798, 0.798, 0.000], [0.500, 0.000, 0.500], [0.000, 0.500, 0.500]], "polymorph_energy_mev_per_atom": 526, "e_tot_ev_per_cell": -13.25}


# 5
{"formula": "KTa2Cl", "functional": "GGA-PBE", "state": "optimized geometry", "lattice_angstrom": [[1.433, -2.743, 0.000], [1.433, 2.743, 0.000], [0.000, 0.000, 11.093]], "species": ["K", "Ta", "Ta", "Cl"], "frac_coords": [[0.000, 0.000, 0.000], [0.500, 0.500, 0.299], [0.500, 0.500, 0.701], [0.000, 0.000, 0.500]], "polymorph_energy_mev_per_atom": 785, "e_tot_ev_per_cell": -23.41}


# 6
{"formula": "K2TaCl", "functional": "GGA-PBE", "state": "optimized geometry", "lattice_angstrom": [[2.245, -2.300, 0.000], [2.245, 2.300, 0.000], [0.000, 0.000, 10.449]], "species": ["K", "K", "Ta", "Cl"], "frac_coords": [[0.000, 0.000, 0.198], [0.000, 0.000, 0.802], [0.500, 0.500, 0.500], [0.500, 0.500, 0.000]], "polymorph_energy_mev_per_atom": 0, "e_tot_ev_per_cell": -15.36}


Energy relative to the elements, uncorrected, record by record: -1917 -2303 -1827 660 809 134 meV per atom